KSiIrO6: optimized geometry, PBE-GGA.

VASP energy = -57.9 eV/cell
symmetry = P312 (149)
total magnetization = 0.000 μB/cell

Cell lengths 4.984, 4.984, 6.084 Å; angles 90.00, 90.00, 60.00 degrees
Element x y z (fractional)
K 0.000 0.000 0.000
Si 0.333 0.333 0.500
Ir 0.667 0.667 0.500
O 0.018 0.376 0.330
O 0.376 0.018 0.670
O 0.605 0.376 0.670
O 0.018 0.605 0.670
O 0.376 0.605 0.330
O 0.605 0.018 0.330